This record from the Alexandria database describes a relaxed structure of Ba2SrHgN. The functional is GGA-PBE.

The structure in POSCAR format:
```
Ba2SrHgN
1.0
-3.570 3.782 2.320
0.428 -2.670 5.012
4.040 3.034 1.271
Sr N Hg Ba
1 1 1 2
Cartesian
2.020 1.517 0.635
0.000 0.000 0.000
0.449 2.073 4.301
0.214 -1.335 2.506
-1.785 1.891 1.160
```

Summary:
The calculation puts the volume at 169 Å³/f.u. The uncorrected formation energy comes out at -0.38 eV/atom.

This record from the Alexandria database describes a relaxed structure of La6Pm2Y. The functional is GGA-PBE.

The structure in POSCAR format:
```
La6Pm2Y
1.0
3.682 0.000 0.000
-1.841 3.189 0.000
0.000 0.000 27.722
La Pm Y
6 2 1
Cartesian
1.841 1.063 24.777
0.000 2.126 12.120
0.000 2.126 21.632
0.000 2.126 6.090
0.000 2.126 15.602
1.841 1.063 2.945
1.841 1.063 9.154
1.841 1.063 18.568
0.000 2.126 0.000
```

Summary:
The calculation puts the volume at 325 Å³/f.u. For the formation energy, the calculation gives 0.06 eV/atom.

Please write out number 1 again, unchanged.
This record from the Alexandria database describes a relaxed structure of Ba2SrHgN. The functional is GGA-PBE.

The structure in POSCAR format:
```
Ba2SrHgN
1.0
-3.570 3.782 2.320
0.428 -2.670 5.012
4.040 3.034 1.271
Sr N Hg Ba
1 1 1 2
Cartesian
2.020 1.517 0.635
0.000 0.000 0.000
0.449 2.073 4.301
0.214 -1.335 2.506
-1.785 1.891 1.160
```

Summary:
The calculation puts the volume at 169 Å³/f.u. The uncorrected formation energy comes out at -0.38 eV/atom.